# LiVO3, relaxed, DFT PBE+U
data_LiVO3
_cell_length_a 4.829
_cell_length_b 9.052
_cell_length_c 4.987
_cell_angle_alpha 90.00
_cell_angle_beta 103.48
_cell_angle_gamma 90.00
_symmetry_space_group_name_H-M 'C 1 2/m 1'
_symmetry_Int_Tables_number 12
loop_
_symmetry_equiv_pos_as_xyz
'x,y,z'
'-x,-y,-z'
'-x,y,-z'
'x,-y,z'
'x+1/2,y+1/2,z'
'-x+1/2,-y+1/2,-z'
'-x+1/2,y+1/2,-z'
'x+1/2,-y+1/2,z'
loop_
_atom_site_label
_atom_site_type_symbol
_atom_site_fract_x
_atom_site_fract_y
_atom_site_fract_z
Li1 Li 0.000 0.152 0.000
V1 V 0.000 0.343 0.500
O1 O 0.198 0.500 0.709
O2 O 0.243 0.299 0.272
# - DOS(E_F) (states/eV/atom) = 0.00
# - electronic total energy (eV per atom) = -6.773
# - total magnetization (μB/atom) = 0.000

# LiV2O4, relaxed, DFT PBE+U
data_LiV2O4
_cell_length_a 4.579
_cell_length_b 4.579
_cell_length_c 4.492
_cell_angle_alpha 90.00
_cell_angle_beta 90.00
_cell_angle_gamma 90.00
_symmetry_space_group_name_H-M 'P -4 2 m'
_symmetry_Int_Tables_number 111
loop_
_symmetry_equiv_pos_as_xyz
'x,y,z'
'y,-x,-z'
'-x,-y,z'
'-y,x,-z'
'x,-y,-z'
'y,x,z'
'-x,y,-z'
'-y,-x,z'
loop_
_atom_site_label
_atom_site_type_symbol
_atom_site_fract_x
_atom_site_fract_y
_atom_site_fract_z
Li1 Li 0.000 0.000 0.000
V1 V 0.000 0.500 0.500
O1 O 0.234 0.234 0.288
# - DOS(E_F) (states/eV/atom) = 0.28
# - total magnetization (μB/atom) = 0.429
# - relative energy among the computed polymorphs (meV per atom) = 237.9

# LiVO3, relaxed, DFT PBE+U
data_LiVO3
_cell_length_a 5.976
_cell_length_b 5.358
_cell_length_c 11.429
_cell_angle_alpha 90.00
_cell_angle_beta 120.68
_cell_angle_gamma 90.00
_symmetry_space_group_name_H-M 'P 1 21/c 1'
_symmetry_Int_Tables_number 14
loop_
_symmetry_equiv_pos_as_xyz
'x,y,z'
'-x,-y,-z'
'-x,y+1/2,-z+1/2'
'x,-y+1/2,z+1/2'
loop_
_atom_site_label
_atom_site_type_symbol
_atom_site_fract_x
_atom_site_fract_y
_atom_site_fract_z
Li1 Li 0.014 0.193 0.176
V1 V 0.326 0.696 0.175
O1 O 0.111 0.664 0.708
O2 O 0.219 0.711 0.010
O3 O 0.366 0.131 0.732
# - DOS(E_F) (states/eV/atom) = 0.00
# - electronic total energy (eV per atom) = -6.839
# - total magnetization (μB/atom) = 0.000